No. 1
Below is TlIn2PbSe after structural relaxation, with properties calculated at the PBE level.

Results
The uncorrected energy comes out at -12.68 eV for the cell shown. The calculation puts the density of states at the Fermi level at 0.7355 states/eV/atom. The energy relative to the elements, uncorrected comes out at 471 meV/atom. The magnetization is 0.0000 μB/atom.

Unit cell a=5.704 b=5.704 c=6.042 alpha=90.00 beta=90.00 gamma=90.00
Space group P4/mmm (No. 123)
Unique sites:
Tl (0.000, 0.000, 0.000) (multiplicity 1)
In (0.000, 0.500, 0.000) (multiplicity 2)
Pb (0.000, 0.000, 0.500) (multiplicity 1)
Se (0.500, 0.500, 0.500) (multiplicity 1)

No. 2
Below is Tl2In2PbSe4 after structural relaxation, with properties calculated at the PBE level.

Results
The uncorrected energy comes out at -62.36 eV for the cell shown. The calculation puts the density of states at the Fermi level at 0.0069 states/eV/atom. The energy relative to the elements, uncorrected comes out at -369 meV/atom. The magnetization is 0.0000 μB/atom.

Unit cell a=15.760 b=5.114 c=7.312 alpha=90.00 beta=105.72 gamma=90.00
Space group C2/m (No. 12)
Unique sites:
Tl (0.126, 0.000, 0.082) (multiplicity 4)
In (0.175, 0.500, 0.551) (multiplicity 4)
Pb (0.000, 0.000, 0.500) (multiplicity 2)
Se (0.031, 0.500, 0.257) (multiplicity 4)
Se (0.204, 0.000, 0.693) (multiplicity 4)

No. 3
Below is Tl2InPbSe4 after structural relaxation, with properties calculated at the PBE level.

Results
The uncorrected energy comes out at -56.60 eV for the cell shown. The calculation puts the density of states at the Fermi level at 0.5862 states/eV/atom. The energy relative to the elements, uncorrected comes out at -398 meV/atom. The magnetization is 0.0000 μB/atom.

Unit cell a=8.133 b=8.133 c=7.204 alpha=90.00 beta=90.00 gamma=90.00
Space group I-42m (No. 121)
Unique sites:
Tl (0.000, 0.500, 0.000) (multiplicity 4)
In (0.000, 0.000, 0.000) (multiplicity 2)
Pb (0.000, 0.000, 0.500) (multiplicity 2)
Se (0.182, 0.182, 0.774) (multiplicity 8)

No. 4
Below is TlIn4PbSe8 after structural relaxation, with properties calculated at the PBE level.

Results
The uncorrected energy comes out at -152.67 eV for the cell shown. The calculation puts the density of states at the Fermi level at 0.1359 states/eV/atom. The energy relative to the elements, uncorrected comes out at -427 meV/atom. The magnetization is 0.0000 μB/atom.

Unit cell a=8.3634 b=8.3634 c=20.8279 alpha=90.00 beta=90.00 gamma=120.00
Space group R3m (No. 160, hexagonal axes)
Unique sites:
Tl (0.0000, 0.0000, 0.0000) (multiplicity 3)
In (0.0000, 0.0000, 0.2414) (multiplicity 3)
In (0.9997, 0.4999, 0.1236) (multiplicity 9)
Pb (0.0000, 0.0000, 0.6268) (multiplicity 3)
Se (0.0000, 0.0000, 0.3810) (multiplicity 3)
Se (0.0000, 0.0000, 0.8618) (multiplicity 3)
Se (0.0199, 0.5099, 0.3867) (multiplicity 9)
Se (0.1744, 0.3488, 0.1979) (multiplicity 9)

- Look up the uncorrected energy of the third one.
  -56.60 eV for the cell shown